The following is a DFT calculation (PBE) of a relaxed BeSb2TePb crystal.

Cell and atoms, written as CIF:
```
data_BeSb2TePb
_symmetry_space_group_name_H-M 'P 4/m m m'
_symmetry_Int_Tables_number 123
_symmetry_space_group_name_Hall '-P 4 2'
_cell_length_a 5.7429
_cell_length_b 5.7429
_cell_length_c 5.9940
_cell_angle_alpha 90.00
_cell_angle_beta 90.00
_cell_angle_gamma 90.00
loop_
_atom_site_label
_atom_site_fract_x
_atom_site_fract_y
_atom_site_fract_z
Be1 0.0000 0.0000 0.0000
Sb1 0.0000 0.5000 0.5000
Te1 0.5000 0.5000 0.5000
Pb1 0.5000 0.5000 0.0000
```

The distance to the lowest polymorph of the same formula comes out at 937 meV per atom. Its crystal system is tetragonal. The density of states at the Fermi level comes out at 3.5 states/eV/cell. The uncorrected formation energy is 1233 meV/atom.